Version w
The following is a GGA-PBE calculation of a relaxed BaCaHo crystal, from Alexandria via LeMat-Bulk.

Cell and atoms, written as POSCAR:
```
BaCaHo
1.0
3.871 0.000 0.000
-1.935 3.352 0.000
0.000 0.000 9.651
Ba Ca Ho
1 1 1
Cartesian
0.000 0.000 0.000
0.000 2.235 6.144
1.935 1.117 3.208
```

ρ = 4.5 Mg/m³

---

Version x
The following is a GGA-PBE calculation of a relaxed BaCaHo crystal, from Alexandria via LeMat-Bulk.

Cell and atoms, written as POSCAR:
```
BaCaHo
1.0
-2.084 2.084 7.391
2.084 -2.084 7.391
2.084 2.084 -7.391
Ba Ca Ho
1 1 1
Cartesian
0.000 0.000 0.000
0.000 0.000 10.184
0.000 0.000 4.843
```

ρ = 4.4 Mg/m³

---

Q: Which of them is the most stable? A: version w.

---

Version w
The following is a GGA-PBE calculation of a relaxed BaCa2I6 crystal, from Alexandria via LeMat-Bulk.

Cell and atoms, written as POSCAR:
```
BaCa2I6
1.0
12.236 -3.919 0.000
12.236 3.919 0.000
-0.089 0.000 8.413
Ba Ca I
2 4 12
Cartesian
12.169 2.128 6.310
12.214 -2.128 2.103
8.059 2.070 1.352
16.368 2.070 2.854
8.014 -2.070 5.559
16.324 -2.070 7.061
2.497 0.374 4.678
2.541 -0.374 0.472
6.738 0.274 7.369
6.783 -0.274 3.163
10.601 0.595 0.723
13.826 0.595 3.484
10.557 -0.595 4.929
13.781 -0.595 7.690
17.600 0.274 5.250
17.645 -0.274 1.044
21.841 0.374 7.941
21.886 -0.374 3.735
```

ρ = 4.0 Mg/m³

---

Version x
The following is a GGA-PBE calculation of a relaxed BaCa2I6 crystal, from Alexandria via LeMat-Bulk.

Cell and atoms, written as POSCAR:
```
BaCa2I6
1.0
7.994 0.000 0.000
0.000 8.752 0.000
-7.988 0.000 11.729
Ba Ca I
2 4 12
Cartesian
0.000 1.234 0.000
-3.994 7.517 5.865
-4.241 2.273 8.770
-0.247 6.479 2.906
3.750 2.271 2.953
-0.244 6.481 8.818
-1.716 0.485 3.636
-5.710 8.267 9.501
1.113 3.747 2.162
-2.881 5.005 8.026
-1.711 0.489 8.084
2.283 8.263 2.219
-3.195 2.589 11.727
0.799 6.163 5.862
2.635 1.929 5.863
-1.359 6.822 11.727
1.119 3.752 9.573
5.113 5.000 3.709
```

ρ = 4.0 Mg/m³

---

Q: Which of them is the most stable? A: version x.

---

Version w
The following is a GGA-PBE calculation of a relaxed BaCa2I6 crystal, from Alexandria via LeMat-Bulk.

Cell and atoms, written as POSCAR:
```
BaCa2I6
1.0
7.413 0.000 0.000
0.000 27.576 0.000
0.000 0.000 8.213
Ba Ca I
4 8 24
Cartesian
0.000 3.259 2.053
0.000 24.317 6.160
3.707 10.529 6.160
3.707 17.047 2.053
0.000 5.914 6.160
0.000 12.481 2.053
0.000 15.095 6.160
0.000 21.662 2.053
3.707 1.307 6.160
3.707 7.874 2.053
3.707 19.702 6.160
3.707 26.269 2.053
1.731 12.910 4.634
1.731 14.666 0.527
1.848 3.610 4.962
1.848 23.966 0.855
1.851 5.777 0.534
1.856 8.011 4.640
1.856 19.565 0.534
1.851 21.799 4.640
1.859 10.178 0.855
1.859 17.398 4.962
1.976 0.878 0.527
1.976 26.698 4.634
5.438 0.878 3.579
5.438 26.698 7.686
5.555 10.178 3.252
5.555 17.398 7.358
5.562 5.777 3.573
5.558 8.011 7.679
5.558 19.565 3.573
5.562 21.799 7.679
5.565 3.610 7.358
5.565 23.966 3.252
5.682 12.910 7.686
5.682 14.666 3.579
```

ρ = 3.9 Mg/m³

---

Version x
The following is a GGA-PBE calculation of a relaxed BaCa2I6 crystal, from Alexandria via LeMat-Bulk.

Cell and atoms, written as POSCAR:
```
BaCa2I6
1.0
7.354 0.000 0.000
0.000 8.071 0.000
-6.255 0.000 14.350
Ba Ca I
2 4 12
Cartesian
0.000 0.000 0.000
-3.128 4.035 7.175
-2.251 0.757 10.796
0.876 3.279 3.621
0.222 4.792 10.728
3.350 7.314 3.554
-1.084 0.666 3.283
-4.211 3.369 10.457
1.734 5.485 1.511
-1.394 6.621 8.685
2.629 1.585 1.518
-0.498 2.451 8.693
1.597 5.620 5.657
-1.531 6.486 12.831
2.492 1.450 5.664
-0.635 2.586 12.839
5.310 4.701 3.892
2.183 7.405 11.067
```

ρ = 3.8 Mg/m³

---

Version y
The following is a GGA-PBE calculation of a relaxed BaCa2I6 crystal, from Alexandria via LeMat-Bulk.

Cell and atoms, written as POSCAR:
```
BaCa2I6
1.0
14.131 0.000 0.000
-7.065 12.238 0.000
0.000 0.000 7.188
Ba Ca I
3 6 18
Cartesian
0.000 0.000 0.000
0.000 8.158 3.584
7.065 4.079 3.605
-2.276 3.942 3.594
-4.640 8.036 0.000
4.551 0.000 3.594
2.426 4.201 0.000
9.280 0.000 0.000
4.790 8.296 3.594
-2.442 6.558 5.420
-4.627 10.633 5.348
0.170 2.914 5.348
-0.057 5.248 1.734
-2.491 9.663 1.734
2.439 1.604 1.840
4.574 2.575 5.455
-0.165 11.073 5.420
2.607 6.844 5.420
6.900 1.164 1.769
4.624 5.680 1.769
2.549 9.564 1.734
4.457 10.928 5.348
7.008 6.989 5.455
9.614 2.674 5.455
11.522 1.310 1.840
7.235 9.323 1.840
9.672 5.393 1.769
```

ρ = 3.9 Mg/m³

---

Version z
The following is a GGA-PBE calculation of a relaxed BaCa2I6 crystal, from Alexandria via LeMat-Bulk.

Cell and atoms, written as POSCAR:
```
BaCa2I6
1.0
8.164 -2.708 0.000
8.164 2.708 0.000
-1.510 0.000 11.354
Ba Ca I
1 2 6
Cartesian
0.000 0.000 0.000
3.092 0.000 7.631
11.726 0.000 3.723
0.241 0.000 8.417
2.236 0.000 4.520
4.597 0.000 10.344
10.221 0.000 1.010
12.582 0.000 6.834
14.577 0.000 2.936
```

ρ = 3.2 Mg/m³

---

Q: Which of them is the most stable? A: version w.

---

Version w
The following is a GGA-PBE calculation of a relaxed BaCa2I crystal, from Alexandria via LeMat-Bulk.

Cell and atoms, written as POSCAR:
```
BaCa2I
1.0
0.000 4.522 4.522
4.522 0.000 4.522
4.522 4.522 0.000
Ba Ca I
1 2 1
Cartesian
0.000 0.000 0.000
2.261 2.261 2.261
6.783 6.783 6.783
4.522 4.522 4.522
```

ρ = 3.1 Mg/m³

---

Version x
The following is a GGA-PBE calculation of a relaxed BaCa2I crystal, from Alexandria via LeMat-Bulk.

Cell and atoms, written as POSCAR:
```
BaCa2I
1.0
-5.128 5.128 3.649
5.128 -5.128 3.649
5.128 5.128 -3.649
Ba Ca I
2 4 2
Cartesian
0.000 0.000 0.000
0.000 5.128 1.824
2.564 -1.875 2.736
3.253 2.564 0.912
2.564 7.002 -0.912
1.875 2.564 4.561
5.128 0.000 1.824
0.000 0.000 3.649
```

ρ = 3.0 Mg/m³

---

Q: Which of them is the most stable? A: version x.

---

Version w
The following is a GGA-PBE calculation of a relaxed BaCaIO2 crystal, from Alexandria via LeMat-Bulk.

Cell and atoms, written as POSCAR:
```
BaCaIO2
1.0
4.717 0.000 0.000
0.000 4.717 0.000
0.000 0.000 5.851
Ba Ca I O
1 1 1 2
Cartesian
0.000 0.000 0.000
2.358 2.358 2.926
2.358 2.358 0.000
0.000 2.358 2.926
2.358 0.000 2.926
```

ρ = 4.3 Mg/m³

---

Version x
The following is a GGA-PBE calculation of a relaxed BaCaIO2 crystal, from Alexandria via LeMat-Bulk.

Cell and atoms, written as POSCAR:
```
BaCaIO2
1.0
4.806 0.000 0.000
0.000 4.806 0.000
0.000 0.000 6.472
Ba Ca I O
1 1 1 2
Cartesian
0.000 0.000 0.000
2.403 2.403 3.236
0.000 0.000 3.236
0.000 2.403 0.000
2.403 0.000 0.000
```

ρ = 3.7 Mg/m³

---

Q: Which of them is the most stable? A: version w.

---

Version w
The following is a GGA-PBE calculation of a relaxed BaCaTeI2 crystal, from Alexandria via LeMat-Bulk.

Cell and atoms, written as POSCAR:
```
BaCaTeI2
1.0
5.924 0.000 0.000
0.000 5.924 0.000
0.000 0.000 6.157
Ba Ca Te I
1 1 1 2
Cartesian
0.000 0.000 0.000
2.962 2.962 3.078
2.962 2.962 0.000
0.000 2.962 3.078
2.962 0.000 3.078
```

ρ = 4.3 Mg/m³

---

Version x
The following is a GGA-PBE calculation of a relaxed BaCaTeI2 crystal, from Alexandria via LeMat-Bulk.

Cell and atoms, written as POSCAR:
```
BaCaTeI2
1.0
6.414 0.000 0.000
0.000 6.414 0.000
0.000 0.000 6.752
Ba Ca Te I
1 1 1 2
Cartesian
0.000 0.000 0.000
3.207 3.207 3.376
0.000 0.000 3.376
0.000 3.207 0.000
3.207 0.000 0.000
```

ρ = 3.3 Mg/m³

---

Q: Which of them is the most stable? A: version w.

---

Version w
The following is a GGA-PBE calculation of a relaxed BaCa3In crystal, from Alexandria via LeMat-Bulk.

Cell and atoms, written as POSCAR:
```
BaCa3In
1.0
5.923 0.000 0.000
0.000 5.923 0.000
0.000 0.000 5.923
Ba Ca In
1 3 1
Cartesian
0.000 0.000 0.000
0.000 0.000 2.961
0.000 2.961 0.000
2.961 0.000 0.000
2.961 2.961 2.961
```

ρ = 3.0 Mg/m³

---

Version x
The following is a GGA-PBE calculation of a relaxed BaCa3In crystal, from Alexandria via LeMat-Bulk.

Cell and atoms, written as POSCAR:
```
BaCa3In
1.0
6.140 0.000 0.000
0.000 6.140 0.000
0.000 0.000 6.140
Ba Ca In
1 3 1
Cartesian
0.000 0.000 0.000
0.000 3.070 3.070
3.070 0.000 3.070
3.070 3.070 0.000
3.070 3.070 3.070
```

ρ = 2.7 Mg/m³

---

Q: Which of them is the most stable? A: version x.

---

Version w
The following is a GGA-PBE calculation of a relaxed Ba2CaIn crystal, from Alexandria via LeMat-Bulk.

Cell and atoms, written as POSCAR:
```
Ba2CaIn
1.0
-2.108 3.193 6.681
2.108 -3.193 6.681
2.108 3.193 -6.681
Ba Ca In
2 1 1
Cartesian
0.000 0.000 0.000
0.000 3.193 2.641
2.108 0.000 3.940
0.000 0.000 6.403
```

ρ = 4.0 Mg/m³

---

Version x
The following is a GGA-PBE calculation of a relaxed Ba2CaIn crystal, from Alexandria via LeMat-Bulk.

Cell and atoms, written as POSCAR:
```
Ba2CaIn
1.0
-5.115 5.115 3.645
5.115 -5.115 3.645
5.115 5.115 -3.645
Ba Ca In
4 2 2
Cartesian
7.673 2.087 -0.911
2.087 2.558 0.911
-2.558 3.029 2.734
3.029 2.558 4.556
5.115 0.000 1.822
0.000 0.000 3.645
0.000 0.000 0.000
0.000 5.115 1.822
```

ρ = 3.7 Mg/m³

---

Q: Which of them is the most stable? A: version w.

---

Version w
The following is a GGA-PBE calculation of a relaxed BaCaIn4 crystal, from Alexandria via LeMat-Bulk.

Cell and atoms, written as POSCAR:
```
BaCaIn4
1.0
-2.587 4.168 4.293
2.587 -4.168 4.293
2.587 4.168 -4.293
Ba Ca In
1 1 4
Cartesian
0.000 0.000 0.000
2.587 0.000 3.575
2.587 2.606 0.911
0.000 2.611 2.432
0.000 1.562 5.204
0.000 5.725 2.432
```

ρ = 5.7 Mg/m³

---

Version x
The following is a GGA-PBE calculation of a relaxed BaCaIn4 crystal, from Alexandria via LeMat-Bulk.

Cell and atoms, written as POSCAR:
```
BaCaIn4
1.0
0.000 4.470 4.470
4.470 0.000 4.470
4.470 4.470 0.000
Ba Ca In
1 1 4
Cartesian
0.000 0.000 0.000
6.705 6.705 6.705
3.355 3.355 3.355
5.586 5.586 3.355
5.586 3.355 5.586
3.355 5.586 5.586
```

ρ = 5.9 Mg/m³

---

Q: Which of them is the most stable? A: version w.

---

Version w
The following is a GGA-PBE calculation of a relaxed BaCa2InIr crystal, from Alexandria via LeMat-Bulk.

Cell and atoms, written as POSCAR:
```
BaCa2InIr
1.0
5.553 0.000 0.000
0.000 5.553 0.000
0.000 0.000 5.358
Ba Ca In Ir
1 2 1 1
Cartesian
0.000 0.000 0.000
0.000 2.776 2.679
2.776 0.000 2.679
2.776 2.776 0.000
2.776 2.776 2.679
```

ρ = 5.3 Mg/m³

---

Version x
The following is a GGA-PBE calculation of a relaxed BaCa2InIr crystal, from Alexandria via LeMat-Bulk.

Cell and atoms, written as POSCAR:
```
BaCa2InIr
1.0
5.851 0.000 0.000
0.000 5.851 0.000
0.000 0.000 5.141
Ba Ca In Ir
1 2 1 1
Cartesian
0.000 0.000 0.000
0.000 2.925 2.570
2.925 0.000 2.570
2.925 2.925 2.570
2.925 2.925 0.000
```

ρ = 4.9 Mg/m³

---

Q: Which of them is the most stable? A: version w.